Record 1
Compound: Cs2InCF6
Source: Alexandria
Functional: GGA-PBE
Structure: optimized geometry

Calculated values
Formation energy without anion corrections = -40.1 kcal/mol of atoms
Space group = I4/mmm, No. 139
M_tot = 1.0 μB/f.u.

```
data_Cs2InCF6
_symmetry_space_group_name_H-M 'P 1'
_symmetry_Int_Tables_number 1
_symmetry_space_group_name_Hall 'P 1'
_cell_length_a 6.850
_cell_length_b 6.850
_cell_length_c 6.850
_cell_angle_alpha 128.78
_cell_angle_beta 128.78
_cell_angle_gamma 75.36
loop_
_atom_site_label
_atom_site_type_symbol
_atom_site_fract_x
_atom_site_fract_y
_atom_site_fract_z
_atom_site_occupancy
Cs1 Cs 0.250 0.750 0.500 1
Cs2 Cs 0.750 0.250 0.500 1
In1 In 0.000 0.000 0.000 1
C1 C 0.500 0.500 0.000 1
F1 F 0.191 0.191 0.000 1
F2 F 0.256 0.256 0.512 1
F3 F 0.256 0.744 0.000 1
F4 F 0.744 0.256 0.000 1
F5 F 0.744 0.744 0.488 1
F6 F 0.809 0.809 0.000 1
```



Record 2
Compound: CaRu2
Source: Alexandria
Functional: GGA-PBE
Structure: optimized geometry

Calculated values
Space group = Cmcm, No. 63
M_tot = 0.0 μB/f.u.
Energy of formation = 0.4365 eV/atom

```
data_CaRu2
_symmetry_space_group_name_H-M 'P 1'
_symmetry_Int_Tables_number 1
_symmetry_space_group_name_Hall 'P 1'
_cell_length_a 7.639
_cell_length_b 7.639
_cell_length_c 4.765
_cell_angle_alpha 90.00
_cell_angle_beta 90.00
_cell_angle_gamma 157.59
loop_
_atom_site_label
_atom_site_type_symbol
_atom_site_fract_x
_atom_site_fract_y
_atom_site_fract_z
_atom_site_occupancy
Ca1 Ca 0.087 0.913 0.750 1
Ca2 Ca 0.913 0.087 0.250 1
Ru1 Ru 0.233 0.767 0.250 1
Ru2 Ru 0.406 0.594 0.750 1
Ru3 Ru 0.594 0.406 0.250 1
Ru4 Ru 0.767 0.233 0.750 1
```



Record 3
Compound: DyHo2Th
Source: Alexandria
Functional: GGA-PBE
Structure: optimized geometry

Calculated values
Space group = Fm-3m, No. 225
M_tot = 0.0 μB/f.u.
Energy of formation = 0.1489 eV/atom

```
data_DyHo2Th
_symmetry_space_group_name_H-M 'P 1'
_symmetry_Int_Tables_number 1
_symmetry_space_group_name_Hall 'P 1'
_cell_length_a 5.649
_cell_length_b 5.649
_cell_length_c 5.649
_cell_angle_alpha 60.00
_cell_angle_beta 60.00
_cell_angle_gamma 60.00
loop_
_atom_site_label
_atom_site_type_symbol
_atom_site_fract_x
_atom_site_fract_y
_atom_site_fract_z
_atom_site_occupancy
Dy1 Dy 0.000 0.000 0.000 1
Ho1 Ho 0.250 0.250 0.250 1
Ho2 Ho 0.750 0.750 0.750 1
Th1 Th 0.500 0.500 0.500 1
```